[1]
# Pm2MgPa

A relaxed Pm2MgPa crystal (GGA-PBE, Alexandria).

* magnetization: 0.00 μB/cell
* density of states at the Fermi level: 4.70 states/eV per cell
* ΔH_f (0 K): 0.0812 eV per atom
* electronic total energy: -5.067 eV per atom

POSCAR file:
```
Pm2MgPa
1.0
-1.461 0.823 -2.987
2.652 -1.376 -1.676
-4.600 -8.690 -0.145
Mg Pa Pm
1 1 2
Direct
0.500 0.500 0.500 Mg
0.500 0.500 0.000 Pa
0.000 0.000 0.752 Pm
0.000 0.000 0.248 Pm
```



[2]
# PmPrMgPa

A relaxed PmPrMgPa crystal (GGA-PBE, Alexandria).

* magnetization: 0.01 μB/cell
* density of states at the Fermi level: 8.68 states/eV per cell
* ΔH_f (0 K): 0.3416 eV per atom
* electronic total energy: -4.814 eV per atom

POSCAR file:
```
PmPrMgPa
1.0
-4.181 -0.897 -3.451
-0.643 -4.944 -2.310
-4.180 -3.223 1.527
Pr Mg Pa Pm
1 1 1 1
Direct
0.750 0.750 0.750 Pr
0.000 0.000 0.000 Mg
0.500 0.500 0.500 Pa
0.250 0.250 0.250 Pm
```



[3]
# PmMgPaSn

A relaxed PmMgPaSn crystal (GGA-PBE, Alexandria).

* magnetization: 1.69 μB/cell
* density of states at the Fermi level: 8.67 states/eV per cell
* ΔH_f (0 K): -0.0253 eV per atom
* electronic total energy: -4.986 eV per atom

POSCAR file:
```
PmMgPaSn
1.0
5.361 0.000 0.000
2.680 4.642 0.000
2.680 1.547 4.377
Mg Pa Sn Pm
1 1 1 1
Direct
0.750 0.750 0.750 Mg
0.000 0.000 0.000 Pa
0.250 0.250 0.250 Sn
0.500 0.500 0.500 Pm
```